(1)
First-principles (SCAN) data for a crystal of CrPBr2 relaxed with PBEsol, as listed in Alexandria via LeMat-Bulk.

Values from the calculation:
DOS at the Fermi energy   1.5 states/eV/f.u.
Final energy   -16.651 eV per atom
Space-group type   No. 47

a b c (Å): 3.3129 4.2142 5.8770
angles (deg): 90.00 90.00 90.00
With the nearest neighbours (Å) after each atom.
Sites, in units of the cell vectors:
Br 0.0000 0.0000 0.0000  4 Cr 2.68
Br 0.5000 0.0000 0.5000  4 P 2.68
Cr 0.5000 0.5000 0.0000  4 Br 2.68
P 0.0000 0.5000 0.5000  4 Br 2.68


(2)
First-principles (SCAN) data for a crystal of La4TaMn relaxed with PBEsol, as listed in Alexandria via LeMat-Bulk.

Values from the calculation:
DOS at the Fermi energy   6.1 states/eV/f.u.
DFT formation energy   0.86 eV/atom
Space-group type   No. 216

a b c (Å): 6.1821 6.1821 6.1821
angles (deg): 60.00 60.00 60.00
With the nearest neighbours (Å) after each atom.
Sites, in units of the cell vectors:
La 0.3745 0.3745 0.3745  6 La 3.08-3.10
La 0.3745 0.3745 0.8766  6 La 3.08-3.10
La 0.8766 0.3745 0.3745  6 La 3.08-3.10
La 0.3745 0.8766 0.3745  6 La 3.08-3.10
Mn 0.7500 0.7500 0.7500  12 La 3.63, 4 Ta 3.79
Ta 0.0000 0.0000 0.0000  12 La 3.62, 4 Mn 3.79


(3)
First-principles (SCAN) data for a crystal of CaHg2Pd relaxed with PBEsol, as listed in Alexandria via LeMat-Bulk.

Values from the calculation:
DOS at the Fermi energy   1.5 states/eV/f.u.
DFT formation energy   -0.51 eV/atom
Space-group type   No. 225

a b c (Å): 4.8702 4.8702 4.8702
angles (deg): 60.00 60.00 60.00
With the nearest neighbours (Å) after each atom.
Sites, in units of the cell vectors:
Ca 0.0000 0.0000 0.0000  8 Hg 2.98
Hg 0.2500 0.2500 0.2500  4 Ca 2.98, 4 Pd 2.98
Hg 0.7500 0.7500 0.7500  4 Pd 2.98, 4 Ca 2.98
Pd 0.5000 0.5000 0.5000  8 Hg 2.98


(4)
First-principles (SCAN) data for a crystal of Sb2Pd5 relaxed with PBEsol, as listed in Alexandria via LeMat-Bulk.

Values from the calculation:
DOS at the Fermi energy   2.3 states/eV/f.u.
Final energy   -34.524 eV per atom
Space-group type   No. 185

a b c (Å): 7.6033 7.6033 13.8383
angles (deg): 90.00 90.00 120.00
With the nearest neighbours (Å) after each atom.
Sites, in units of the cell vectors:
Sb 0.6667 0.3333 0.2070  7 Pd 2.65-2.82
Sb 0.3333 0.6667 0.7070  7 Pd 2.65-2.82
Sb 0.6674 0.6674 0.4831  8 Pd 2.61-2.73
Sb 0.3326 0.0000 0.4831  8 Pd 2.61-2.73
Sb 0.0000 0.0000 0.7588  10 Pd 2.60-2.85
Sb 0.0000 0.0000 0.2588  10 Pd 2.60-2.85
Sb 0.3326 0.3326 0.9831  8 Pd 2.61-2.73
Sb 0.0000 0.6674 0.9831  8 Pd 2.61-2.73
Sb 0.6674 0.0000 0.9831  8 Pd 2.61-2.73
Sb 0.6667 0.3333 0.7070  7 Pd 2.65-2.82
Sb 0.0000 0.3326 0.4831  8 Pd 2.61-2.73
Sb 0.3333 0.6667 0.2070  7 Pd 2.65-2.82
Pd 0.3710 0.3710 0.5781  1 Sb 2.61, 4 Pd 2.79-2.89
Pd 0.0000 0.3711 0.2871  4 Sb 2.65-2.85, 6 Pd 2.86-2.95
Pd 0.3333 0.6667 0.4104  4 Sb 2.73-2.82, 6 Pd 2.84-2.95
Pd 0.2669 0.2669 0.3850  3 Sb 2.68-2.69, 6 Pd 2.79-2.88
Pd 0.0000 0.6917 0.1780  4 Sb 2.60-2.70, 4 Pd 2.80-2.90
Pd 0.6917 0.6917 0.6780  4 Sb 2.60-2.70, 4 Pd 2.80-2.90
Pd 0.6667 0.3333 0.4104  4 Sb 2.73-2.82, 6 Pd 2.84-2.95
Pd 0.0000 0.7331 0.3850  3 Sb 2.68-2.69, 6 Pd 2.79-2.88
Pd 0.7331 0.7331 0.8850  3 Sb 2.68-2.69, 6 Pd 2.79-2.88
Pd 0.6290 0.6290 0.0781  1 Sb 2.61, 4 Pd 2.79-2.89
Pd 0.6917 0.0000 0.1780  4 Sb 2.60-2.70, 4 Pd 2.80-2.90
Pd 0.6290 0.0000 0.5781  1 Sb 2.61, 4 Pd 2.79-2.89
Pd 0.3083 0.3083 0.1780  4 Sb 2.60-2.70, 4 Pd 2.80-2.90
Pd 0.0000 0.6289 0.7871  4 Sb 2.65-2.85, 6 Pd 2.86-2.95
Pd 0.3710 0.0000 0.0781  1 Sb 2.61, 4 Pd 2.79-2.89
Pd 0.6667 0.3333 0.9104  4 Sb 2.73-2.82, 6 Pd 2.84-2.95
Pd 0.3711 0.3711 0.7871  4 Sb 2.65-2.85, 6 Pd 2.86-2.95
Pd 0.0000 0.0000 0.5546  4 Sb 2.72-2.83, 6 Pd 2.84-2.90
Pd 0.0000 0.2669 0.8850  3 Sb 2.68-2.69, 6 Pd 2.79-2.88
Pd 0.2669 0.0000 0.8850  3 Sb 2.68-2.69, 6 Pd 2.79-2.88
Pd 0.3333 0.6667 0.9104  4 Sb 2.73-2.82, 6 Pd 2.84-2.95
Pd 0.0000 0.3083 0.6780  4 Sb 2.60-2.70, 4 Pd 2.80-2.90
Pd 0.0000 0.3710 0.0781  1 Sb 2.61, 4 Pd 2.79-2.89
Pd 0.0000 0.0000 0.0546  4 Sb 2.72-2.83, 6 Pd 2.84-2.90
Pd 0.6289 0.6289 0.2871  4 Sb 2.65-2.85, 6 Pd 2.86-2.95
Pd 0.0000 0.6290 0.5781  1 Sb 2.61, 4 Pd 2.79-2.89
Pd 0.3711 0.0000 0.2871  4 Sb 2.65-2.85, 6 Pd 2.86-2.95
Pd 0.6289 0.0000 0.7871  4 Sb 2.65-2.85, 6 Pd 2.86-2.95
Pd 0.3083 0.0000 0.6780  4 Sb 2.60-2.70, 4 Pd 2.80-2.90
Pd 0.7331 0.0000 0.3850  3 Sb 2.68-2.69, 6 Pd 2.79-2.88


(5)
First-principles (SCAN) data for a crystal of MoIr2Os relaxed with PBEsol, as listed in Alexandria via LeMat-Bulk.

Values from the calculation:
DOS at the Fermi energy   3.3 states/eV/f.u.
DFT formation energy   0.24 eV/atom
Space-group type   No. 123

a b c (Å): 3.3069 3.3069 5.3912
angles (deg): 90.00 90.00 90.00
With the nearest neighbours (Å) after each atom.
Sites, in units of the cell vectors:
Ir 0.0000 0.0000 0.7457  2 Ir 2.65-2.74, 4 Os 2.69, 4 Mo 2.71
Ir 0.0000 0.0000 0.2543  2 Ir 2.65-2.74, 4 Os 2.69, 4 Mo 2.71
Mo 0.5000 0.5000 0.0000  2 Os 2.70, 8 Ir 2.71
Os 0.5000 0.5000 0.5000  8 Ir 2.69, 2 Mo 2.70


(6)
First-principles (SCAN) data for a crystal of Ca4YTe relaxed with PBEsol, as listed in Alexandria via LeMat-Bulk.

Values from the calculation:
DOS at the Fermi energy   2.0 states/eV/f.u.
Final energy   -17.177 eV per atom
Space-group type   No. 216

a b c (Å): 6.6962 6.6962 6.6962
angles (deg): 60.00 60.00 60.00
With the nearest neighbours (Å) after each atom.
Sites, in units of the cell vectors:
Ca 0.3742 0.3742 0.3742  6 Ca 3.33-3.37
Ca 0.3742 0.3742 0.8775  6 Ca 3.33-3.37
Ca 0.8775 0.3742 0.3742  6 Ca 3.33-3.37
Ca 0.3742 0.8775 0.3742  6 Ca 3.33-3.37
Te 0.7500 0.7500 0.7500  12 Ca 3.93, 4 Y 4.10
Y 0.0000 0.0000 0.0000  12 Ca 3.92, 4 Te 4.10


(7)
First-principles (SCAN) data for a crystal of PrZnIn relaxed with PBEsol, as listed in Alexandria via LeMat-Bulk.

Values from the calculation:
DOS at the Fermi energy   2.1 states/eV/f.u.
DFT formation energy   -0.59 eV/atom
Space-group type   No. 194

a b c (Å): 4.6761 4.6761 7.5598
angles (deg): 90.00 90.00 120.00
With the nearest neighbours (Å) after each atom.
Sites, in units of the cell vectors:
Pr 0.0000 0.0000 0.0000  6 In 3.30, 6 Zn 3.30
Pr 0.0000 0.0000 0.5000  6 Zn 3.30, 6 In 3.30
Zn 0.3333 0.6667 0.7500  3 In 2.70
Zn 0.6667 0.3333 0.2500  3 In 2.70
In 0.3333 0.6667 0.2500  3 Zn 2.70
In 0.6667 0.3333 0.7500  3 Zn 2.70


(8)
First-principles (SCAN) data for a crystal of PrCo3Ni2 relaxed with PBEsol, as listed in Alexandria via LeMat-Bulk.

Values from the calculation:
DOS at the Fermi energy   5.9 states/eV/f.u.
DFT formation energy   -0.04 eV/atom
Space-group type   No. 191

a b c (Å): 3.9671 4.8752 4.8752
angles (deg): 120.00 90.00 90.00
With the nearest neighbours (Å) after each atom.
Sites, in units of the cell vectors:
Pr 0.0000 0.0000 0.0000  6 Ni 2.81, 12 Co 3.14
Ni 0.0000 0.6667 0.3333  6 Co 2.43
Ni 0.0000 0.3333 0.6667  6 Co 2.43
Co 0.5000 0.0000 0.5000  4 Ni 2.43, 4 Co 2.44
Co 0.5000 0.5000 0.5000  4 Ni 2.43, 4 Co 2.44
Co 0.5000 0.5000 0.0000  4 Ni 2.43, 4 Co 2.44